PBE+U CaPr2CrO6, optimized geometry; E_tot = -7.64 eV per atom; symmetry = P2_1/c (14)
1.0
-3.431 1.865 4.002
-0.271 -5.392 2.281
6.406 1.703 4.787
O Pr Cr Ca
12 4 2 2
direct
0.673 0.279 0.937
0.780 0.822 0.949
0.390 0.954 0.769
0.720 0.322 0.551
0.827 0.779 0.563
0.280 0.678 0.449
0.220 0.178 0.051
0.610 0.046 0.231
0.173 0.221 0.437
0.890 0.546 0.269
0.110 0.454 0.731
0.327 0.721 0.063
0.015 0.941 0.247
0.985 0.059 0.753
0.515 0.559 0.747
0.485 0.441 0.253
0.500 0.000 0.000
0.000 0.500 0.500
0.500 0.000 0.500
0.000 0.500 0.000